Record 1
A geometry-optimized MnRuCl structure. Source: Alexandria via LeMat-Bulk, functional GGA-PBEsol.

Cell and atoms, written as extended XYZ:
```
3
Lattice="4.0661 0.0000 0.0000 -2.0330 3.5213 0.0000 0.0000 0.0000 2.9279" Properties=species:S:1:pos:R:3 pbc="T T T"
Mn 0.0000 0.0000 0.0000
Ru 0.0000 2.3476 1.4485
Cl 2.0330 1.1738 1.6015
```

space group	No. 156
DOS at the Fermi energy	2.81	states/eV per cell
formation energy from raw total energies	166.1	kJ/mol of formula units
total magnetization	3.429	μB/f.u.


Record 2
A geometry-optimized MnRu2Cl structure. Source: Alexandria via LeMat-Bulk, functional GGA-PBEsol.

Cell and atoms, written as extended XYZ:
```
8
Lattice="2.7979 0.0000 0.0000 0.0000 4.3670 0.0000 0.0000 0.0000 8.8313" Properties=species:S:1:pos:R:3 pbc="T T T"
Mn 0.0000 0.0000 0.0000
Mn 1.3989 2.1835 4.4156
Ru 0.0000 2.1835 1.9813
Ru 0.0000 2.1835 6.8500
Ru 1.3989 0.0000 2.4343
Ru 1.3989 0.0000 6.3970
Cl 0.0000 0.0000 4.4156
Cl 1.3989 2.1835 0.0000
```

space group	No. 71
energy above the lowest structure with this stoichiometry	181	meV/atom
DOS at the Fermi energy	7.16	states/eV per cell
formation energy from raw total energies	230.2	kJ/mol of formula units
total magnetization	3.141	μB/f.u.